Entry a
# ZnIr2Br

ZnIr2Br after structural relaxation (PBE, the Alexandria database).

a b c (Å): 4.157 4.157 7.294
angles (deg): 90.00 90.00 90.00
Space group I4/mmm (No. 139)
Asymmetric unit:
Zn 0.000 0.000 0.000 [2 per cell]
Ir 0.000 0.500 0.250 [4 per cell]
Br 0.000 0.000 0.500 [2 per cell]

Calculated values
* DOS(E_F): 4.11 states/eV/f.u.

---

Entry b
# ZnIr2Br

ZnIr2Br after structural relaxation (PBE, the Alexandria database).

a b c (Å): 2.819 3.610 7.460
angles (deg): 90.00 90.07 90.00
Space group Pm (No. 6)
Asymmetric unit:
Zn 0.000 0.000 0.000 [1 per cell]
Ir 0.001 0.000 0.365 [1 per cell]
Ir 0.501 0.500 0.179 [1 per cell]
Br 0.002 0.500 0.609 [1 per cell]

Calculated values
* DOS(E_F): 2.81 states/eV/f.u.

---

Pick entry b: it beats the second-best structure by 576 meV/atom.

---

Entry a
# ZnIr2Br

ZnIr2Br after structural relaxation (PBE, the Alexandria database).

a b c (Å): 2.856 4.513 5.004
angles (deg): 90.00 90.00 90.00
Space group Pmmm (No. 47)
Asymmetric unit:
Zn 0.000 0.000 0.000 [1 per cell]
Ir 0.000 0.500 0.500 [1 per cell]
Ir 0.500 0.500 0.000 [1 per cell]
Br 0.500 0.000 0.500 [1 per cell]

Calculated values
* DOS(E_F): 4.14 states/eV/f.u.

---

Entry b
# ZnIr2Br

ZnIr2Br after structural relaxation (PBE, the Alexandria database).

a b c (Å): 2.904 4.587 9.805
angles (deg): 90.00 90.00 90.00
Space group Imm2 (No. 44)
Asymmetric unit:
Zn 0.000 0.000 0.000 [2 per cell]
Ir 0.000 0.000 0.516 [2 per cell]
Ir 0.000 0.500 0.250 [2 per cell]
Br 0.000 0.500 0.788 [2 per cell]

Calculated values
* DOS(E_F): 3.73 states/eV/f.u.

---

Entry c
# ZnIr2Br

ZnIr2Br after structural relaxation (PBE, the Alexandria database).

a b c (Å): 3.0409 3.0409 25.1265
angles (deg): 90.00 90.00 120.00
Space group R3m (No. 160, hexagonal axes)
Asymmetric unit:
Zn 0.0000 0.0000 0.0000 [3 per cell]
Ir 0.0000 0.0000 0.2561 [3 per cell]
Ir 0.0000 0.0000 0.5112 [3 per cell]
Br 0.0000 0.0000 0.7573 [3 per cell]

Calculated values
* DOS(E_F): 4.76 states/eV/f.u.

---

Pick entry c: it beats the second-best structure by 109 meV/atom.

---

Entry a
# ZnIr2Br

ZnIr2Br after structural relaxation (PBE, the Alexandria database).

a b c (Å): 4.210 4.210 3.547
angles (deg): 90.00 90.00 90.00
Space group P4/mmm (No. 123)
Asymmetric unit:
Zn 0.000 0.000 0.000 [1 per cell]
Ir 0.000 0.500 0.500 [2 per cell]
Br 0.500 0.500 0.000 [1 per cell]

Calculated values
* DOS(E_F): 2.88 states/eV/f.u.

---

Entry b
# ZnIr2Br

ZnIr2Br after structural relaxation (PBE, the Alexandria database).

a b c (Å): 2.839 5.074 8.940
angles (deg): 90.00 90.00 90.00
Space group Cmmm (No. 65)
Asymmetric unit:
Zn 0.000 0.000 0.000 [2 per cell]
Ir 0.000 0.500 0.238 [4 per cell]
Br 0.000 0.000 0.500 [2 per cell]

Calculated values
* DOS(E_F): 4.08 states/eV/f.u.

---

Pick entry b: it beats the second-best structure by 211 meV/atom.

---

Entry a
# ZnIr2Br

ZnIr2Br after structural relaxation (PBE, the Alexandria database).

a b c (Å): 3.057 3.057 6.794
angles (deg): 90.00 90.00 90.00
Space group P4/mmm (No. 123)
Asymmetric unit:
Zn 0.000 0.000 0.000 [1 per cell]
Ir 0.500 0.500 0.220 [2 per cell]
Br 0.000 0.000 0.500 [1 per cell]

Calculated values
* DOS(E_F): 3.94 states/eV/f.u.

---

Entry b
# ZnIr2Br

ZnIr2Br after structural relaxation (PBE, the Alexandria database).

a b c (Å): 3.982 3.982 17.401
angles (deg): 90.00 90.00 90.00
Space group I-42d (No. 122)
Asymmetric unit:
Zn 0.000 0.000 0.000 [4 per cell]
Ir 0.247 0.250 0.125 [8 per cell]
Br 0.000 0.000 0.500 [4 per cell]

Calculated values
* DOS(E_F): 3.71 states/eV/f.u.

---

Entry c
# ZnIr2Br

ZnIr2Br after structural relaxation (PBE, the Alexandria database).

a b c (Å): 2.808 5.037 9.179
angles (deg): 90.00 90.00 90.00
Space group Immm (No. 71)
Asymmetric unit:
Zn 0.000 0.000 0.000 [2 per cell]
Ir 0.000 0.500 0.254 [4 per cell]
Br 0.000 0.000 0.500 [2 per cell]

Calculated values
* DOS(E_F): 3.60 states/eV/f.u.

---

Entry d
# ZnIr2Br

ZnIr2Br after structural relaxation (PBE, the Alexandria database).

a b c (Å): 3.870 3.870 8.567
angles (deg): 90.00 90.00 90.00
Space group I-4m2 (No. 119)
Asymmetric unit:
Zn 0.000 0.000 0.000 [2 per cell]
Ir 0.000 0.000 0.500 [2 per cell]
Ir 0.000 0.500 0.250 [2 per cell]
Br 0.000 0.500 0.750 [2 per cell]

Calculated values
* DOS(E_F): 4.27 states/eV/f.u.

---

Pick entry c: it beats the second-best structure by 70 meV/atom.

---

Entry a
# ZnIr2Br

ZnIr2Br after structural relaxation (PBE, the Alexandria database).

a b c (Å): 5.924 7.109 2.972
angles (deg): 90.00 90.00 90.00
Space group Cmmm (No. 65)
Asymmetric unit:
Zn 0.000 0.000 0.000 [2 per cell]
Ir 0.250 0.250 0.500 [4 per cell]
Br 0.000 0.500 0.000 [2 per cell]

Calculated values
* DOS(E_F): 2.47 states/eV/f.u.

---

Entry b
# ZnIr2Br

ZnIr2Br after structural relaxation (PBE, the Alexandria database).

a b c (Å): 6.412 6.412 6.412
angles (deg): 90.00 90.00 90.00
Space group F-43m (No. 216)
Asymmetric unit:
Zn 0.000 0.000 0.000 [4 per cell]
Ir 0.000 0.000 0.500 [4 per cell]
Ir 0.250 0.250 0.750 [4 per cell]
Br 0.250 0.250 0.250 [4 per cell]

Calculated values
* DOS(E_F): 6.47 states/eV/f.u.

---

Pick entry a: it beats the second-best structure by 168 meV/atom.

---

Entry a
# Zr2IrBr

Zr2IrBr after structural relaxation (PBE, the Alexandria database).

a b c (Å): 3.889 3.889 10.523
angles (deg): 90.00 90.00 90.00
Space group I-4m2 (No. 119)
Asymmetric unit:
Zr 0.000 0.000 0.000 [2 per cell]
Zr 0.000 0.500 0.250 [2 per cell]
Ir 0.000 0.000 0.500 [2 per cell]
Br 0.000 0.500 0.750 [2 per cell]

Calculated values
* DOS(E_F): 5.05 states/eV/f.u.

---

Entry b
# Zr2IrBr

Zr2IrBr after structural relaxation (PBE, the Alexandria database).

a b c (Å): 5.963 5.963 12.799
angles (deg): 90.00 90.00 90.00
Space group I-42d (No. 122)
Asymmetric unit:
Zr 0.217 0.250 0.125 [8 per cell]
Ir 0.000 0.000 0.000 [4 per cell]
Br 0.000 0.000 0.500 [4 per cell]

Calculated values
* DOS(E_F): 2.02 states/eV/f.u.

---

Pick entry a: it beats the second-best structure by 105 meV/atom.

---

Entry a
# Zr2IrBr

Zr2IrBr after structural relaxation (PBE, the Alexandria database).

a b c (Å): 4.102 5.220 7.436
angles (deg): 90.00 90.00 90.00
Space group Immm (No. 71)
Asymmetric unit:
Zr 0.000 0.000 0.243 [4 per cell]
Ir 0.000 0.500 0.500 [2 per cell]
Br 0.000 0.500 0.000 [2 per cell]

Calculated values
* DOS(E_F): 2.62 states/eV/f.u.

---

Entry b
# Zr2IrBr

Zr2IrBr after structural relaxation (PBE, the Alexandria database).

a b c (Å): 14.976 3.557 3.566
angles (deg): 90.00 90.06 90.00
Space group Cm (No. 8)
Asymmetric unit:
Zr 0.000 0.000 0.000 [2 per cell]
Zr 0.194 0.000 0.502 [2 per cell]
Ir 0.130 0.500 0.001 [2 per cell]
Br 0.388 0.000 0.499 [2 per cell]

Calculated values
* DOS(E_F): 1.42 states/eV/f.u.

---

Entry c
# Zr2IrBr

Zr2IrBr after structural relaxation (PBE, the Alexandria database).

a b c (Å): 6.773 6.773 6.773
angles (deg): 90.00 90.00 90.00
Space group Fm-3m (No. 225)
Asymmetric unit:
Zr 0.250 0.250 0.250 [8 per cell]
Ir 0.000 0.000 0.000 [4 per cell]
Br 0.000 0.000 0.500 [4 per cell]

Calculated values
* DOS(E_F): 4.94 states/eV/f.u.

---

Entry d
# Zr2IrBr

Zr2IrBr after structural relaxation (PBE, the Alexandria database).

a b c (Å): 6.619 7.545 3.161
angles (deg): 90.00 100.92 90.00
Space group C2/m (No. 12)
Asymmetric unit:
Zr 0.250 0.250 0.000 [4 per cell]
Ir 0.000 0.000 0.500 [2 per cell]
Br 0.000 0.500 0.500 [2 per cell]

Calculated values
* DOS(E_F): 3.51 states/eV/f.u.

---

Pick entry b: it beats the second-best structure by 222 meV/atom.

---

Entry a
# ZrIr3Br

ZrIr3Br after structural relaxation (PBE, the Alexandria database).

a b c (Å): 4.620 4.620 4.620
angles (deg): 90.00 90.00 90.00
Space group Pm-3m (No. 221)
Asymmetric unit:
Zr 0.000 0.000 0.000 [1 per cell]
Ir 0.000 0.500 0.500 [3 per cell]
Br 0.500 0.500 0.500 [1 per cell]

Calculated values
* DOS(E_F): 6.99 states/eV/f.u.

---

Entry b
# ZrIr3Br

ZrIr3Br after structural relaxation (PBE, the Alexandria database).

a b c (Å): 4.970 4.970 4.970
angles (deg): 90.00 90.00 90.00
Space group Pm-3m (No. 221)
Asymmetric unit:
Zr 0.000 0.000 0.000 [1 per cell]
Ir 0.000 0.000 0.500 [3 per cell]
Br 0.500 0.500 0.500 [1 per cell]

Calculated values
* DOS(E_F): 12.69 states/eV/f.u.

---

Pick entry a: it beats the second-best structure by 551 meV/atom.

---

Entry a
# ZrIr2Br

ZrIr2Br after structural relaxation (PBE, the Alexandria database).

a b c (Å): 6.621 6.621 6.621
angles (deg): 90.00 90.00 90.00
Space group Fm-3m (No. 225)
Asymmetric unit:
Zr 0.000 0.000 0.000 [4 per cell]
Ir 0.250 0.250 0.250 [8 per cell]
Br 0.000 0.000 0.500 [4 per cell]

Calculated values
* DOS(E_F): 3.62 states/eV/f.u.

---

Entry b
# ZrIr2Br

ZrIr2Br after structural relaxation (PBE, the Alexandria database).

a b c (Å): 3.035 4.749 4.763
angles (deg): 90.00 90.00 90.00
Space group Pmmm (No. 47)
Asymmetric unit:
Zr 0.000 0.000 0.000 [1 per cell]
Ir 0.000 0.500 0.500 [1 per cell]
Ir 0.500 0.000 0.500 [1 per cell]
Br 0.500 0.500 0.000 [1 per cell]

Calculated values
* DOS(E_F): 4.86 states/eV/f.u.

---

Entry c
# ZrIr2Br

ZrIr2Br after structural relaxation (PBE, the Alexandria database).

a b c (Å): 3.0349 3.0349 27.4977
angles (deg): 90.00 90.00 120.00
Space group R3m (No. 160, hexagonal axes)
Asymmetric unit:
Zr 0.0000 0.0000 0.0000 [3 per cell]
Ir 0.0000 0.0000 0.4925 [3 per cell]
Ir 0.0000 0.0000 0.7528 [3 per cell]
Br 0.0000 0.0000 0.2574 [3 per cell]

Calculated values
* DOS(E_F): 4.90 states/eV/f.u.

---

Entry d
# ZrIr2Br

ZrIr2Br after structural relaxation (PBE, the Alexandria database).

a b c (Å): 3.191 3.733 6.224
angles (deg): 90.00 90.00 90.00
Space group Pmmm (No. 47)
Asymmetric unit:
Zr 0.000 0.000 0.000 [1 per cell]
Ir 0.500 0.500 0.219 [2 per cell]
Br 0.000 0.000 0.500 [1 per cell]

Calculated values
* DOS(E_F): 3.30 states/eV/f.u.

---

Pick entry d: it beats the second-best structure by 119 meV/atom.

---

Entry a
# K2Br

K2Br after structural relaxation (PBE, the Alexandria database).

a b c (Å): 8.085 8.235 4.681
angles (deg): 90.00 90.00 90.00
Space group Pnnm (No. 58)
Asymmetric unit:
K 0.229 0.189 0.000 [4 per cell]
Br 0.000 0.000 0.500 [2 per cell]

Calculated values
* DOS(E_F): 1.46 states/eV/f.u.

---

Entry b
# K2Br

K2Br after structural relaxation (PBE, the Alexandria database).

a b c (Å): 10.596 10.596 10.596
angles (deg): 90.00 90.00 90.00
Space group Fd-3m (No. 227, origin choice 2)
Asymmetric unit:
K 0.000 0.000 0.000 [16 per cell]
Br 0.125 0.125 0.625 [8 per cell]

Calculated values
* DOS(E_F): 0.52 states/eV/f.u.

---

Entry c
# K2Br

K2Br after structural relaxation (PBE, the Alexandria database).

a b c (Å): 4.131 4.131 15.804
angles (deg): 90.00 90.00 90.00
Space group I4/mmm (No. 139)
Asymmetric unit:
K 0.000 0.000 0.124 [4 per cell]
Br 0.000 0.000 0.500 [2 per cell]

Calculated values
* DOS(E_F): 0.69 states/eV/f.u.

---

Pick entry c: it beats the second-best structure by 16 meV/atom.

---

Entry a
# K2Br

K2Br after structural relaxation (PBE, the Alexandria database).

a b c (Å): 4.120 4.120 32.199
angles (deg): 90.00 90.00 90.00
Space group I4_1/amd (No. 141, origin choice 2)
Asymmetric unit:
K 0.000 0.250 0.314 [8 per cell]
Br 0.000 0.250 0.875 [4 per cell]

Calculated values
* DOS(E_F): 0.71 states/eV/f.u.

---

Entry b
# K2Br

K2Br after structural relaxation (PBE, the Alexandria database).

a b c (Å): 4.671 19.130 6.816
angles (deg): 90.00 90.00 90.00
Space group Cmcm (No. 63)
Asymmetric unit:
K 0.000 0.070 0.250 [4 per cell]
K 0.000 0.318 0.250 [4 per cell]
Br 0.000 0.304 0.750 [4 per cell]

Calculated values
* DOS(E_F): 0.81 states/eV/f.u.

---

Pick entry b: it beats the second-best structure by 37 meV/atom.